1.
This record from Alexandria via LeMat-Bulk describes Sc2InPt after structural relaxation. The functional is PBE.

Summary:
total energy	-21.92	eV/cell
E_form	-119.3	meV per atom

Lattice parameters (Å, degrees): 10.301 10.301 10.301 17.51 17.51 17.51
Atoms (fractional coordinates):
Pt: 0.000 0.000 0.000
In: 0.500 0.500 0.500
Sc: 0.083 0.083 0.083
Sc: 0.917 0.917 0.917

=====

2.
This record from Alexandria via LeMat-Bulk describes HoGe3Os2 after structural relaxation. The functional is PBE.

Summary:
total energy	-85.35	eV/cell
E_form	-297.3	meV per atom

Lattice parameters (Å, degrees): 4.263 6.287 8.466 90.00 90.00 109.82
Atoms (fractional coordinates):
Os: 0.531 0.062 0.750
Ge: 0.624 0.247 0.475
Ho: 0.817 0.634 0.750
Ge: 0.376 0.753 0.975
Ge: 0.866 0.731 0.250
Ge: 0.624 0.247 0.025
Ge: 0.376 0.753 0.525
Ge: 0.134 0.269 0.750
Os: 0.469 0.938 0.250
Os: 0.000 0.000 0.000
Os: 0.000 0.000 0.500
Ho: 0.183 0.366 0.250

=====

3.
This record from Alexandria via LeMat-Bulk describes PaGaAgBr6 after structural relaxation. The functional is PBE.

Summary:
formation energy from raw total energies	-1007	meV/atom
total energy	-68.96	eV/cell

Lattice parameters (Å, degrees): 7.233 7.233 14.009 90.00 90.00 120.00
Site moments in Bohr magnetons follow the coordinates.
Atoms (fractional coordinates):
Br: 0.990 0.644 0.368  -0.01
Br: 0.654 0.010 0.368  -0.01
Br: 0.990 0.346 0.132  -0.01
Br: 0.356 0.346 0.368  -0.01
Br: 0.644 0.990 0.868  -0.01
Br: 0.346 0.990 0.632  -0.01
Br: 0.010 0.654 0.868  -0.01
Pa: 0.667 0.333 0.250  1.07
Pa: 0.333 0.667 0.750  1.07
Br: 0.644 0.654 0.632  -0.01
Br: 0.010 0.356 0.632  -0.01
Br: 0.654 0.644 0.132  -0.01
Ga: 0.000 0.000 0.500  0.00
Ag: 0.333 0.667 0.250  0.00
Br: 0.346 0.356 0.868  -0.01
Ga: 0.000 0.000 0.000  0.00
Ag: 0.667 0.333 0.750  0.00
Br: 0.356 0.010 0.132  -0.01

=====

4.
This record from Alexandria via LeMat-Bulk describes NdTePt after structural relaxation. The functional is PBE.

Summary:
formation energy from raw total energies	-811	meV/atom
total energy	-65.54	eV/cell

Lattice parameters (Å, degrees): 4.604 8.858 8.858 90.00 90.00 90.00
Atoms (fractional coordinates):
Te: 0.500 0.720 0.979
Nd: 0.500 0.206 0.389
Te: 0.000 0.021 0.720
Nd: 0.000 0.611 0.206
Pt: 0.000 0.292 0.178
Nd: 0.000 0.389 0.794
Pt: 0.000 0.708 0.822
Te: 0.000 0.979 0.280
Pt: 0.500 0.178 0.708
Pt: 0.500 0.822 0.292
Nd: 0.500 0.794 0.611
Te: 0.500 0.280 0.021

=====

> Which of these has the lowest total energy?

HoGe3Os2